<i>
A relaxed Sn3HRu crystal. Source: the Alexandria database, functional PBE.

The structure in POSCAR format:
```
Sn3HRu
1.0
5.0774 0.0000 0.0000
0.0000 5.0774 0.0000
0.0000 0.0000 5.0774
Sn H Ru
3 1 1
Cartesian
0.0000 0.0000 2.5387 Sn
0.0000 2.5387 0.0000 Sn
2.5387 0.0000 0.0000 Sn
2.5387 2.5387 2.5387 H
0.0000 0.0000 0.0000 Ru
```

Computed properties:
Symmetry ... Pm-3m

<ii>
A relaxed Sn3HRu crystal. Source: the Alexandria database, functional PBE.

The structure in POSCAR format:
```
Sn3HRu
1.0
4.5139 0.0000 0.0000
0.0000 4.5139 0.0000
0.0000 0.0000 4.5139
Sn H Ru
3 1 1
Cartesian
0.0000 0.0000 2.2569 Sn
0.0000 2.2569 0.0000 Sn
2.2569 0.0000 0.0000 Sn
0.0000 0.0000 0.0000 H
2.2569 2.2569 2.2569 Ru
```

Computed properties:
Symmetry ... Pm-3m

Stability check: which of them is least stable? <ii>.

<i>
A relaxed TcSnHRu2 crystal. Source: the Alexandria database, functional PBE.

The structure in POSCAR format:
```
TcSnHRu2
1.0
4.1095 0.0000 0.0000
0.0000 4.1095 0.0000
0.0000 0.0000 3.9982
Tc Sn H Ru
1 1 1 2
Cartesian
0.0000 0.0000 0.0000 Tc
2.0548 2.0548 0.0000 Sn
0.0000 0.0000 1.9991 H
0.0000 2.0548 1.9991 Ru
2.0548 0.0000 1.9991 Ru
```

Computed properties:
Symmetry ... P4/mmm

<ii>
A relaxed TcSnHRu2 crystal. Source: the Alexandria database, functional PBE.

The structure in POSCAR format:
```
TcSnHRu2
1.0
3.9282 0.0000 0.0000
0.0000 3.9282 0.0000
0.0000 0.0000 4.3870
Tc Sn H Ru
1 1 1 2
Cartesian
0.0000 0.0000 0.0000 Tc
1.9641 1.9641 0.0000 Sn
1.9641 1.9641 2.1935 H
0.0000 1.9641 2.1935 Ru
1.9641 0.0000 2.1935 Ru
```

Computed properties:
Symmetry ... P4/mmm

Stability check: which of them is least stable? <ii>.

<i>
A relaxed Sr2HRu crystal. Source: the Alexandria database, functional PBE.

The structure in POSCAR format:
```
Sr2HRu
1.0
0.0000 3.6206 3.6206
3.6206 0.0000 3.6206
3.6206 3.6206 0.0000
Sr H Ru
2 1 1
Cartesian
1.8103 1.8103 1.8103 Sr
5.4308 5.4308 5.4308 Sr
0.0000 0.0000 0.0000 H
3.6206 3.6206 3.6206 Ru
```

Computed properties:
Symmetry ... Fm-3m

<ii>
A relaxed Sr2HRu crystal. Source: the Alexandria database, functional PBE.

The structure in POSCAR format:
```
Sr2HRu
1.0
-3.5494 3.5494 3.8813
3.5494 -3.5494 3.8813
3.5494 3.5494 -3.8813
Sr H Ru
4 2 2
Cartesian
1.7747 1.3217 -0.9703 Sr
2.2277 -1.7747 4.8517 Sr
1.7747 2.2277 2.9110 Sr
1.3217 5.3241 0.9703 Sr
0.0000 0.0000 0.0000 H
0.0000 3.5494 1.9407 H
3.5494 0.0000 1.9407 Ru
0.0000 0.0000 3.8813 Ru
```

Computed properties:
Symmetry ... I-42d

Stability check: which of them is least stable? <i>.

<i>
A relaxed TaHRu2 crystal. Source: the Alexandria database, functional PBE.

The structure in POSCAR format:
```
TaHRu2
1.0
2.1982 -5.1931 0.0000
2.1982 5.1931 0.0000
0.0000 0.0000 4.4263
Ta H Ru
2 2 4
Cartesian
1.0991 2.5966 0.0000 Ta
1.0991 -2.5966 2.2132 Ta
0.0000 0.0000 1.1066 H
0.0000 0.0000 3.3198 H
1.1053 1.0868 2.2132 Ru
1.1053 -1.0868 0.0000 Ru
3.2912 1.0868 0.0000 Ru
3.2912 -1.0868 2.2132 Ru
```

Computed properties:
Symmetry ... Cccm

<ii>
A relaxed TaHRu2 crystal. Source: the Alexandria database, functional PBE.

The structure in POSCAR format:
```
TaHRu2
1.0
3.0297 0.0000 0.0000
0.0000 3.0297 0.0000
0.0000 0.0000 5.6637
Ta H Ru
1 1 2
Cartesian
0.0000 0.0000 0.0000 Ta
0.0000 0.0000 2.8318 H
1.5148 1.5148 1.5951 Ru
1.5148 1.5148 4.0685 Ru
```

Computed properties:
Symmetry ... P4/mmm

<iii>
A relaxed TaHRu2 crystal. Source: the Alexandria database, functional PBE.

The structure in POSCAR format:
```
TaHRu2
1.0
0.0000 2.9938 2.9938
2.9938 0.0000 2.9938
2.9938 2.9938 0.0000
Ta H Ru
1 1 2
Cartesian
0.0000 0.0000 0.0000 Ta
2.9938 2.9938 2.9938 H
1.4969 1.4969 1.4969 Ru
4.4907 4.4907 4.4907 Ru
```

Computed properties:
Symmetry ... Fm-3m

<iv>
A relaxed TaHRu2 crystal. Source: the Alexandria database, functional PBE.

The structure in POSCAR format:
```
TaHRu2
1.0
1.4312 0.8263 6.7929
-1.4312 0.8263 6.7929
0.0000 -1.6527 6.7929
Ta H Ru
1 1 2
Cartesian
0.0000 0.0000 0.0000 Ta
0.0000 0.0000 10.1894 H
0.0000 0.0000 4.5486 Ru
0.0000 0.0000 15.8301 Ru
```

Computed properties:
Symmetry ... R-3m

Stability check: which of them is least stable? <iii>.

<i>
A relaxed TaHRu3 crystal. Source: the Alexandria database, functional PBE.

The structure in POSCAR format:
```
TaHRu3
1.0
3.7561 0.0000 0.0000
0.0000 3.7561 0.0000
0.0000 0.0000 6.0388
Ta H Ru
1 1 3
Cartesian
0.0000 0.0000 0.0000 Ta
1.8781 1.8781 2.2149 H
0.0000 0.0000 3.6271 Ru
0.0000 1.8781 1.7931 Ru
1.8781 0.0000 1.7931 Ru
```

Computed properties:
Symmetry ... P4mm

<ii>
A relaxed TaHRu3 crystal. Source: the Alexandria database, functional PBE.

The structure in POSCAR format:
```
TaHRu3
1.0
3.0094 0.0000 0.0000
0.0000 3.3373 3.1615
0.0000 -3.3373 3.1615
Ta H Ru
1 1 3
Cartesian
0.0000 0.0000 0.0000 Ta
1.5047 0.0000 2.8118 H
0.0000 0.0000 3.7828 Ru
1.5047 -1.4461 1.7791 Ru
1.5047 1.4461 1.7791 Ru
```

Computed properties:
Symmetry ... Amm2

<iii>
A relaxed TaHRu3 crystal. Source: the Alexandria database, functional PBE.

The structure in POSCAR format:
```
TaHRu3
1.0
4.4675 0.0000 0.0000
0.0000 5.6068 0.0000
-0.0385 0.0000 4.9090
Ta H Ru
2 2 6
Cartesian
1.0416 1.4017 1.7310 Ta
3.3874 4.2051 3.1780 Ta
2.1819 4.2051 4.8855 H
2.2471 1.4017 0.0235 H
1.0667 0.0022 4.0843 Ru
1.0667 2.8012 4.0843 Ru
1.0912 4.2051 1.6352 Ru
3.3377 1.4017 3.2738 Ru
3.3623 5.6046 0.8247 Ru
3.3623 2.8056 0.8247 Ru
```

Computed properties:
Symmetry ... P2_1/m

<iv>
A relaxed TaHRu3 crystal. Source: the Alexandria database, functional PBE.

The structure in POSCAR format:
```
TaHRu3
1.0
3.6593 2.1127 2.7056
-3.6593 2.1127 2.7056
0.0000 -4.2254 2.7056
Ta H Ru
2 2 6
Cartesian
0.0000 0.0000 0.0000 Ta
0.0000 0.0000 4.0584 Ta
0.0000 0.0000 2.0292 H
0.0000 0.0000 6.0876 H
-2.6056 -0.2877 3.3820 Ru
-1.0537 -2.4004 4.7348 Ru
1.5519 -2.1127 3.3820 Ru
-1.5519 2.1127 4.7348 Ru
1.0537 2.4004 3.3820 Ru
2.6056 0.2877 4.7348 Ru
```

Computed properties:
Symmetry ... R-3c

Stability check: which of them is least stable? <i>.

<i>
A relaxed TaHRu3 crystal. Source: the Alexandria database, functional PBE.

The structure in POSCAR format:
```
TaHRu3
1.0
4.5082 -5.6383 0.0000
4.5082 5.6383 0.0000
-0.0674 0.0000 4.8802
Ta H Ru
4 4 12
Cartesian
1.2329 0.8115 0.3226 Ta
1.1992 -0.8115 2.7627 Ta
7.7498 0.8115 2.1175 Ta
7.7160 -0.8115 4.5576 Ta
4.4913 2.1423 1.2200 H
4.4576 0.6586 3.6601 H
4.4913 -0.6586 1.2200 H
4.4576 -2.1423 3.6601 H
3.3179 3.5192 2.0511 Ru
3.3223 2.1377 4.4290 Ru
3.3215 0.7266 2.0381 Ru
5.6648 3.5192 0.3890 Ru
5.5930 2.1377 2.8913 Ru
3.2878 -0.7266 4.4782 Ru
5.6612 0.7266 0.4020 Ru
3.3560 -2.1377 1.9889 Ru
3.2842 -3.5192 4.4911 Ru
5.6274 -0.7266 2.8421 Ru
5.6267 -2.1377 0.4512 Ru
5.6311 -3.5192 2.8291 Ru
```

Computed properties:
Symmetry ... C2/c

<ii>
A relaxed TaHRu3 crystal. Source: the Alexandria database, functional PBE.

The structure in POSCAR format:
```
TaHRu3
1.0
4.5006 -2.8361 0.0000
4.5006 2.8361 0.0000
-0.0297 0.0000 4.8139
Ta H Ru
2 2 6
Cartesian
1.2471 0.0000 1.5069 Ta
7.7246 0.0000 3.3070 Ta
4.4858 1.3638 2.4070 H
4.4858 -1.3638 2.4070 H
3.3773 1.4040 0.8277 Ru
3.3180 0.0000 3.2532 Ru
5.5943 1.4040 3.9862 Ru
3.3773 -1.4040 0.8277 Ru
5.6536 0.0000 1.5607 Ru
5.5943 -1.4040 3.9862 Ru
```

Computed properties:
Symmetry ... C2/m

Stability check: which of them is least stable? <i>.

<i>
A relaxed TaHRu3 crystal. Source: the Alexandria database, functional PBE.

The structure in POSCAR format:
```
TaHRu3
1.0
6.7912 -1.9541 0.0000
6.7912 1.9541 0.0000
-2.2545 0.0000 5.1245
Ta H Ru
2 2 6
Cartesian
1.6408 0.0000 1.4665 Ta
9.6871 0.0000 3.6581 Ta
3.7127 0.0000 0.8797 H
7.6152 0.0000 4.2448 H
0.8341 0.0000 4.1223 Ru
4.3780 0.0000 2.7506 Ru
5.5632 0.0000 0.2298 Ru
5.7647 0.0000 4.8947 Ru
6.9499 0.0000 2.3740 Ru
10.4938 0.0000 1.0022 Ru
```

Computed properties:
Symmetry ... C2/m

<ii>
A relaxed TaHRu3 crystal. Source: the Alexandria database, functional PBE.

The structure in POSCAR format:
```
TaHRu3
1.0
2.7646 -4.4010 0.0000
2.7646 4.4010 0.0000
0.0000 0.0000 5.3643
Ta H Ru
2 2 6
Cartesian
2.7646 4.0209 4.0232 Ta
2.7646 -4.0209 1.3411 Ta
2.7646 1.1542 4.0232 H
2.7646 -1.1542 1.3411 H
1.5495 2.4166 1.3411 Ru
3.9798 2.4166 1.3411 Ru
2.7646 0.0000 0.0000 Ru
2.7646 0.0000 2.6822 Ru
1.5495 -2.4166 4.0232 Ru
3.9798 -2.4166 4.0232 Ru
```

Computed properties:
Symmetry ... Cmcm

Stability check: which of them is least stable? <ii>.

<i>
A relaxed TaHRu3 crystal. Source: the Alexandria database, functional PBE.

The structure in POSCAR format:
```
TaHRu3
1.0
5.3113 0.0000 0.0000
-2.3012 4.7912 0.0000
-1.4960 -2.3968 4.8255
Ta H Ru
2 2 6
Cartesian
0.0000 0.0000 0.0000 Ta
-1.6664 1.0525 3.0816 Ta
2.4835 1.7583 1.4596 H
1.7850 0.4459 3.9269 H
-2.9345 3.4905 2.3853 Ru
-1.0475 2.3306 0.6811 Ru
0.0876 -0.1089 4.7211 Ru
0.8667 1.1006 2.3638 Ru
2.7231 -0.1073 0.6551 Ru
1.9933 -1.3121 3.1012 Ru
```

Computed properties:
Symmetry ... P1

<ii>
A relaxed TaHRu3 crystal. Source: the Alexandria database, functional PBE.

The structure in POSCAR format:
```
TaHRu3
1.0
5.2790 0.0000 0.0000
-2.2721 4.8354 0.0000
-1.4402 -2.3676 4.8154
Ta H Ru
2 2 6
Cartesian
0.0000 0.0000 0.0000 Ta
-0.1436 3.6932 1.9052 Ta
-0.1325 1.8770 0.9152 H
1.8660 0.7046 0.9105 H
-0.5632 -1.1332 2.4789 Ru
-0.9997 2.4849 4.1893 Ru
0.8932 1.2564 2.5267 Ru
1.6333 2.4690 0.1075 Ru
2.7845 0.1237 4.1813 Ru
3.5160 1.3048 1.7733 Ru
```

Computed properties:
Symmetry ... P1

<iii>
A relaxed TaHRu3 crystal. Source: the Alexandria database, functional PBE.

The structure in POSCAR format:
```
TaHRu3
1.0
-2.6215 2.6215 4.8340
2.6215 -2.6215 4.8340
2.6215 2.6215 -4.8340
Ta H Ru
2 2 6
Cartesian
0.0000 0.0000 1.4514 Ta
0.0000 0.0000 8.2166 Ta
0.0000 0.0000 4.8340 H
0.0000 2.6215 2.4170 H
2.6215 1.2917 -1.1785 Ru
2.6215 0.0000 1.2225 Ru
2.6215 0.0000 3.6115 Ru
1.2917 2.6215 1.1785 Ru
1.3298 0.0000 6.0126 Ru
0.0000 1.3298 3.6555 Ru
```

Computed properties:
Symmetry ... I-4m2

Stability check: which of them is least stable? <iii>.

<i>
A relaxed TaHRu3 crystal. Source: the Alexandria database, functional PBE.

The structure in POSCAR format:
```
TaHRu3
1.0
4.9151 0.0000 0.0000
-2.4303 4.6942 0.0000
-0.0059 -1.6110 5.3311
Ta H Ru
2 2 6
Cartesian
-0.5063 0.9353 1.0681 Ta
2.9853 2.1478 4.2630 Ta
1.1530 1.0896 3.9700 H
1.3260 1.9936 1.3611 H
-0.4414 0.0143 3.7144 Ru
0.4429 3.4322 0.3614 Ru
0.4225 2.6818 3.0222 Ru
2.0564 0.4014 2.3089 Ru
2.0360 -0.3490 4.9697 Ru
2.9203 3.0689 1.6166 Ru
```

Computed properties:
Symmetry ... P-1

<ii>
A relaxed TaHRu3 crystal. Source: the Alexandria database, functional PBE.

The structure in POSCAR format:
```
TaHRu3
1.0
0.0000 5.1584 5.1584
5.1584 0.0000 5.1584
5.1584 5.1584 0.0000
Ta H Ru
4 4 12
Cartesian
0.0000 0.0000 0.0000 Ta
2.5792 2.5792 0.0000 Ta
2.5792 0.0000 2.5792 Ta
0.0000 2.5792 2.5792 Ta
5.1584 2.5792 2.5792 H
2.5792 5.1584 2.5792 H
2.5792 2.5792 5.1584 H
5.1584 5.1584 5.1584 H
3.8688 3.8688 1.8923 Ru
3.8688 1.8923 3.8688 Ru
5.8453 3.8688 3.8688 Ru
6.4480 6.4480 4.4715 Ru
6.4480 4.4715 6.4480 Ru
8.4245 6.4480 6.4480 Ru
1.8923 3.8688 3.8688 Ru
3.8688 5.8453 3.8688 Ru
3.8688 3.8688 5.8453 Ru
4.4715 6.4480 6.4480 Ru
6.4480 8.4245 6.4480 Ru
6.4480 6.4480 8.4245 Ru
```

Computed properties:
Symmetry ... Fd-3m

Stability check: which of them is least stable? <ii>.